VASP calculation (PBE) on a relaxed LiAcNp2O8 crystal.

Computed properties:
- uncorrected formation energy (meV/atom) = -2380.6
- uncorrected energy (Ry per atom) = -0.613

Cell: 6.592 6.592 6.592 Å, 109.17 109.17 110.07°
Element x y z (fractional)
Li  0.000  0.000  0.000
Ac  0.250  0.750  0.500
Np  0.500  0.500  0.000
Np  0.750  0.250  0.500
O  0.314  0.135  0.821
O  0.314  0.493  0.179
O  0.385  0.058  0.327
O  0.507  0.686  0.821
O  0.732  0.058  0.673
O  0.865  0.686  0.179
O  0.942  0.268  0.327
O  0.942  0.615  0.673